Record 1
Crystalline YC2 at its relaxed geometry, computed with GGA-PBE.

Cell and atoms, written as CIF:
```
data_YC2
_cell_length_a 3.043
_cell_length_b 3.043
_cell_length_c 29.916
_cell_angle_alpha 90.00
_cell_angle_beta 90.00
_cell_angle_gamma 90.00
_symmetry_space_group_name_H-M 'I 41/a m d'
_symmetry_Int_Tables_number 141
loop_
_symmetry_equiv_pos_as_xyz
'x,y,z'
'-x,-y,-z'
'-y+1/4,x+3/4,z+1/4'
'y+1/4,-x+3/4,-z+1/4'
'-x+1/2,-y,z+1/2'
'x+1/2,y,-z+1/2'
'y+1/4,-x+1/4,z+3/4'
'-y+1/4,x+1/4,-z+3/4'
'x,-y,-z'
'-x,y,z'
'-y+1/4,-x+1/4,-z+3/4'
'y+1/4,x+1/4,z+3/4'
'-x+1/2,y,-z+1/2'
'x+1/2,-y,z+1/2'
'y+1/4,x+3/4,-z+1/4'
'-y+1/4,-x+3/4,z+1/4'
'x+1/2,y+1/2,z+1/2'
'-x+1/2,-y+1/2,-z+1/2'
'-y+3/4,x+1/4,z+3/4'
'y+3/4,-x+1/4,-z+3/4'
'-x,-y+1/2,z'
'x,y+1/2,-z'
'y+3/4,-x+3/4,z+1/4'
'-y+3/4,x+3/4,-z+1/4'
'x+1/2,-y+1/2,-z+1/2'
'-x+1/2,y+1/2,z+1/2'
'-y+3/4,-x+3/4,-z+1/4'
'y+3/4,x+3/4,z+1/4'
'-x,y+1/2,-z'
'x,-y+1/2,z'
'y+3/4,x+1/4,-z+3/4'
'-y+3/4,-x+1/4,z+3/4'
loop_
_atom_site_label
_atom_site_fract_x
_atom_site_fract_y
_atom_site_fract_z
Y1 0.000 0.250 0.310
C1 0.000 0.250 0.123
C2 0.000 0.250 0.762
```

Values from the calculation:
Energy = -7.469 eV/atom
Energy above the most stable polymorph in this dataset = 1019 meV per atom
Density = 5.41 g/cm³
Energy of formation from the pure elements = 0.835 eV per atom

Record 2
Crystalline YC2 at its relaxed geometry, computed with GGA-PBE.

Cell and atoms, written as CIF:
```
data_YC2
_cell_length_a 2.904
_cell_length_b 14.932
_cell_length_c 3.248
_cell_angle_alpha 90.00
_cell_angle_beta 90.00
_cell_angle_gamma 90.00
_symmetry_space_group_name_H-M 'C m m m'
_symmetry_Int_Tables_number 65
_symmetry_space_group_name_Hall '-C 2 2'
loop_
_atom_site_label
_atom_site_fract_x
_atom_site_fract_y
_atom_site_fract_z
Y1 0.000 0.128 0.000
C1 0.000 0.000 0.500
C2 0.000 0.274 0.500
C3 0.000 0.500 0.000
```

Values from the calculation:
Energy = -7.526 eV/atom
Energy above the most stable polymorph in this dataset = 961 meV per atom
Density = 5.33 g/cm³
Energy of formation from the pure elements = 0.778 eV per atom

Record 3
Crystalline Y2ZnC at its relaxed geometry, computed with GGA-PBE.

Cell and atoms, written as CIF:
```
data_Y2ZnC
_cell_length_a 6.703
_cell_length_b 6.703
_cell_length_c 6.703
_cell_angle_alpha 90.00
_cell_angle_beta 90.00
_cell_angle_gamma 90.00
_symmetry_space_group_name_H-M 'F m -3 m'
_symmetry_Int_Tables_number 225
_symmetry_space_group_name_Hall '-F 4 2 3'
loop_
_atom_site_label
_atom_site_fract_x
_atom_site_fract_y
_atom_site_fract_z
Y1 0.250 0.250 0.250
Zn1 0.000 0.000 0.000
C1 0.000 0.000 0.500
```

Values from the calculation:
Energy = -5.473 eV/atom
Energy above the most stable polymorph in this dataset = 612 meV per atom
Density = 5.63 g/cm³
Energy of formation from the pure elements = 0.384 eV per atom

Record 4
Crystalline Y4ZnC at its relaxed geometry, computed with GGA-PBE.

Cell and atoms, written as CIF:
```
data_Y4ZnC
_cell_length_a 8.236
_cell_length_b 13.946
_cell_length_c 6.253
_cell_angle_alpha 90.00
_cell_angle_beta 121.90
_cell_angle_gamma 90.00
_symmetry_space_group_name_H-M 'C 1 2/c 1'
_symmetry_Int_Tables_number 15
_symmetry_space_group_name_Hall '-C 2yc'
loop_
_atom_site_label
_atom_site_fract_x
_atom_site_fract_y
_atom_site_fract_z
Y1 0.143 0.201 0.153
Y2 0.227 0.048 0.697
Zn1 0.000 0.380 0.750
C1 0.000 0.068 0.250
```

Values from the calculation:
Energy = -6.196 eV/atom
Density = 4.72 g/cm³
Energy of formation from the pure elements = -0.137 eV per atom